Record 1
Entry from the Alexandria database: an optimized crystal structure of CeAl2Ge (PBE).

a = 3.514 Å, b = 3.514 Å, c = 6.696 Å
α = 90.00°, β = 90.00°, γ = 90.00°
Site moments in Bohr magnetons follow the coordinates.
Positions (direct):
1 Al 0.000 0.000 0.802  0.00
2 Al 0.000 0.000 0.198  0.00
3 Ge 0.500 0.500 0.000  -0.01
4 Ce 0.500 0.500 0.500  0.57

Fermi-level density of states = 6.3 states/eV/f.u.
Formation energy from the elements = -0.184 eV per atom
Distance to the lowest polymorph of the same formula = 253.7 meV per atom
Space-group type = No. 123

Record 2
Entry from the Alexandria database: an optimized crystal structure of Ce6AlGe (PBE).

a = 4.642 Å, b = 4.642 Å, c = 9.282 Å
α = 90.00°, β = 90.00°, γ = 90.00°
Site moments in Bohr magnetons follow the coordinates.
Positions (direct):
1 Ce 0.500 0.500 0.000  0.59
2 Al 0.000 0.000 0.500  -0.01
3 Ce 0.500 0.000 0.246  0.62
4 Ge 0.000 0.000 0.000  -0.01
5 Ce 0.000 0.500 0.246  0.62
6 Ce 0.500 0.000 0.754  0.62
7 Ce 0.000 0.500 0.754  0.62
8 Ce 0.500 0.500 0.500  0.65

Fermi-level density of states = 22.3 states/eV/f.u.
Formation energy from the elements = -0.279 eV per atom
Space-group type = No. 123

Record 3
Entry from the Alexandria database: an optimized crystal structure of Ce3AlGe (PBE).

a = 5.778 Å, b = 8.530 Å, c = 9.977 Å
α = 90.00°, β = 90.00°, γ = 90.00°
Site moments in Bohr magnetons follow the coordinates.
Positions (direct):
1 Ce 0.000 0.881 0.601  0.58
2 Ce 0.250 0.250 0.750  0.88
3 Al 0.000 0.426 0.250  0.00
4 Al 0.000 0.574 0.750  0.00
5 Ce 0.250 0.750 0.250  0.88
6 Ce 0.500 0.381 0.399  0.58
7 Ce 0.000 0.881 0.899  0.58
8 Ce 0.750 0.250 0.750  0.88
9 Al 0.500 0.926 0.750  0.00
10 Ge 0.000 0.500 0.000  -0.02
11 Ce 0.750 0.750 0.250  0.88
12 Ce 0.000 0.119 0.101  0.58
13 Ce 0.500 0.619 0.899  0.58
14 Ce 0.500 0.381 0.101  0.58
15 Ce 0.000 0.119 0.399  0.58
16 Ge 0.000 0.500 0.500  -0.02
17 Ce 0.500 0.619 0.601  0.58
18 Ge 0.500 0.000 0.000  -0.02
19 Al 0.500 0.074 0.250  0.00
20 Ge 0.500 0.000 0.500  -0.02

Fermi-level density of states = 13.3 states/eV/f.u.
Formation energy from the elements = -0.269 eV per atom
Space-group type = No. 74